Density functional theory data (PBE+U) for a geometry-optimized Tl3FeO structure.

Calculated values
**Magnetization**: 0.69 μB per atom
**ΔE to the lowest computed polymorph**: 204 meV/atom

Unit cell a=5.274 b=5.274 c=5.274 alpha=90.00 beta=90.00 gamma=90.00
Each line ends with the local moment (μB).
Positions (direct):
Tl 0.000 0.500 0.000  -0.06
Tl 0.000 0.000 0.500  0.01
Tl 0.500 0.000 0.000  -0.09
Fe 0.000 0.000 0.000  3.11
O 0.500 0.500 0.500  0.55